YCu6Pt6 (PBE-GGA, relaxed); mass density = 14.13 g cm⁻³; energy = -5.540 eV/atom; calculated formation energy = -35.15 kJ per mole of atoms; SG = No. 71
1.0
4.644 0.000 1.856
2.324 6.211 0.922
0.018 -0.155 6.693
Cu Pt Y
6 6 1
Direct
0.500 0.000 0.500
0.500 0.231 0.769
0.500 0.500 0.000
0.500 0.769 0.231
0.000 0.000 0.500
0.000 0.500 0.000
0.701 0.799 0.799
0.000 0.654 0.346
0.299 0.201 0.201
0.000 0.346 0.654
0.658 0.342 0.342
0.342 0.658 0.658
0.000 0.000 0.000

---

YCuPt3 (PBE-GGA, relaxed); mass density = 13.26 g cm⁻³; energy = -6.239 eV/atom; energy relative to the lowest polymorph listed for this composition = 63.9 meV per atom; calculated formation energy = -48.46 kJ per mole of atoms; SG = No. 166
1.0
-4.332 1.224 -4.431
-0.770 -3.975 -4.848
-7.169 -5.003 1.125
Pt Cu Y
9 3 3
Direct
0.254 0.254 0.651
0.746 0.746 0.349
0.500 0.500 0.000
0.254 0.842 0.651
0.000 0.500 0.000
0.500 0.000 0.000
0.842 0.254 0.651
0.746 0.158 0.349
0.158 0.746 0.349
0.500 0.500 0.500
0.401 0.401 0.798
0.599 0.599 0.202
0.771 0.771 0.687
0.229 0.229 0.313
0.000 0.000 0.000